# Tm6Cd3Co

An optimized crystal structure of Tm6Cd3Co (PBE, the Alexandria database).

```
20
Lattice="8.9865 0.0000 0.0000 0.0000 11.0589 0.0000 0.0000 0.0000 5.0879" Properties=species:S:1:pos:R:3 pbc="T T T"
Tm 0.1696 2.5539 0.0000
Tm 1.3824 0.8394 2.5440
Tm 1.7748 4.5559 2.5440
Tm 2.7185 10.0853 0.0000
Tm 3.1108 6.3688 0.0000
Tm 4.3237 8.0833 2.5440
Tm 4.6629 2.9756 2.5440
Tm 5.8757 4.6900 0.0000
Tm 6.2681 0.9735 0.0000
Tm 7.2117 6.5029 2.5440
Tm 7.6041 10.2194 2.5440
Tm 8.8169 8.5050 0.0000
Cd 0.0000 5.5294 0.0000
Cd 1.3344 7.9379 2.5440
Cd 3.1589 2.4085 0.0000
Cd 4.4933 0.0000 2.5440
Cd 5.8276 8.6504 0.0000
Cd 7.6521 3.1210 2.5440
Co 0.0000 0.0000 0.0000
Co 4.4933 5.5294 2.5440
```

Properties
Formation energy in meV per atom: -166.1
Electronic total energy in eV per atom: -3.834
SG: Pnnm, No. 58
Density of states at the Fermi level in states/eV per cell: 14.8
M_tot in μB per atom: 0.000